Ac2InPtAu6: relaxed, PBE.

abc: 7.283 7.283 7.283
angles: 60.00 60.00 60.00
Element x y z (fractional)
Ac  0.250  0.250  0.250
Ac  0.750  0.750  0.750
In  0.000  0.000  0.000
Pt  0.500  0.500  0.500
Au  0.252  0.252  0.748
Au  0.252  0.748  0.252
Au  0.252  0.748  0.748
Au  0.748  0.252  0.252
Au  0.748  0.252  0.748
Au  0.748  0.748  0.252

Summary:
* final energy: -3.934 eV per atom
* size of the total moment: 0.00 μB/f.u.
* calculated volume: 27.3 Å³/atom
* DFT formation energy: -2.7 eV/f.u.

AcPuInAu: relaxed, PBE.

abc: 5.495 5.495 5.495
angles: 60.00 60.00 60.00
Element x y z (fractional)
Ac  0.000  0.000  0.000
Pu  0.500  0.500  0.500
In  0.750  0.750  0.750
Au  0.250  0.250  0.250

Summary:
* final energy: -6.445 eV per atom
* size of the total moment: 5.81 μB/f.u.
* calculated volume: 29.3 Å³/atom
* DFT formation energy: -1.3 eV/f.u.

Ac2In4RhAu3: relaxed, PBE.

abc: 4.727 4.727 11.259
angles: 90.00 90.00 90.00
Element x y z (fractional)
Ac  0.000  0.500  0.235
Ac  0.500  0.000  0.765
In  0.000  0.000  0.500
In  0.000  0.500  0.882
In  0.500  0.000  0.118
In  0.500  0.500  0.500
Rh  0.500  0.500  0.000
Au  0.000  0.000  0.000
Au  0.000  0.500  0.641
Au  0.500  0.000  0.359

Summary:
* final energy: -4.187 eV per atom
* size of the total moment: 0.00 μB/f.u.
* calculated volume: 25.2 Å³/atom
* DFT formation energy: -5.5 eV/f.u.

Ac2InSbAu6: relaxed, PBE.

abc: 7.398 7.398 7.398
angles: 60.00 60.00 60.00
Element x y z (fractional)
Ac  0.250  0.250  0.250
Ac  0.750  0.750  0.750
In  0.000  0.000  0.000
Sb  0.500  0.500  0.500
Au  0.250  0.250  0.750
Au  0.250  0.750  0.250
Au  0.250  0.750  0.750
Au  0.750  0.250  0.250
Au  0.750  0.250  0.750
Au  0.750  0.750  0.250

Summary:
* final energy: -3.707 eV per atom
* size of the total moment: 0.00 μB/f.u.
* calculated volume: 28.6 Å³/atom
* formation energy without anion corrections: -0.233 eV/atom

final energy of number 1 (Ac2InPtAu6)? -3.934 eV per atom